Material: NiSb2TeF
Method: DFT, PBE with a Hubbard U
State: relaxed

total magnetization: 0.00 μB/f.u.
symmetry: No. 123
Fermi-level density of states: 3.4 states/eV/cell
total DFT energy (no corrections): -2.619 eV per atom

a b c (Å): 4.641 4.641 5.341
angles (deg): 90.00 90.00 90.00
Sites, in units of the cell vectors:
Sb (0.000, 0.500, 0.000)
Sb (0.500, 0.000, 0.000)
F (0.000, 0.000, 0.000)
Te (0.000, 0.000, 0.500)
Ni (0.500, 0.500, 0.500)